# 1
{"formula": "Ca12Be3H5", "functional": "GGA-PBE", "state": "relaxed", "lattice_angstrom": [[-10.411, -7.554, 4.508], [0.540, -0.666, -13.603], [11.655, -4.734, 5.247]], "species": ["Be", "Be", "Be", "Be", "Be", "Be", "Be", "Be", "Be", "Be", "Be", "Be", "H", "H", "H", "H", "H", "H", "H", "H", "H", "H", "H", "H", "H", "H", "H", "H", "H", "H", "H", "H", "Ca", "Ca", "Ca", "Ca", "Ca", "Ca", "Ca", "Ca", "Ca", "Ca", "Ca", "Ca", "Ca", "Ca", "Ca", "Ca", "Ca", "Ca", "Ca", "Ca", "Ca", "Ca", "Ca", "Ca", "Ca", "Ca", "Ca", "Ca", "Ca", "Ca", "Ca", "Ca", "Ca", "Ca", "Ca", "Ca", "Ca", "Ca", "Ca", "Ca", "Ca", "Ca", "Ca", "Ca", "Ca", "Ca", "Ca", "Ca"], "fractional_positions": [[0.750, 0.375, 0.125], [0.875, 0.750, 0.125], [0.375, 0.750, 0.625], [0.250, 0.125, 0.375], [0.875, 0.125, 0.250], [0.375, 0.625, 0.250], [0.625, 0.375, 0.750], [0.125, 0.875, 0.750], [0.750, 0.875, 0.625], [0.625, 0.250, 0.375], [0.125, 0.250, 0.875], [0.250, 0.625, 0.875], [0.125, 0.375, 0.250], [0.000, 0.500, 0.000], [0.000, 0.000, 0.000], [0.375, 0.250, 0.125], [0.500, 0.000, 0.500], [0.500, 0.500, 0.000], [0.125, 0.750, 0.375], [0.750, 0.125, 0.875], [0.750, 0.625, 0.375], [0.375, 0.125, 0.750], [0.625, 0.875, 0.250], [0.500, 0.500, 0.500], [0.500, 0.000, 0.000], [0.000, 0.000, 0.500], [0.250, 0.375, 0.625], [0.250, 0.875, 0.125], [0.000, 0.500, 0.500], [0.875, 0.250, 0.625], [0.625, 0.750, 0.875], [0.875, 0.625, 0.750], [0.713, 0.122, 0.024], [0.312, 0.524, 0.402], [0.976, 0.378, 0.287], [0.524, 0.213, 0.122], [0.591, 0.713, 0.688], [0.976, 0.598, 0.188], [0.312, 0.787, 0.409], [0.098, 0.909, 0.122], [0.598, 0.976, 0.688], [0.713, 0.591, 0.188], [0.787, 0.476, 0.378], [0.812, 0.902, 0.024], [0.122, 0.713, 0.524], [0.378, 0.402, 0.091], [0.091, 0.902, 0.378], [0.409, 0.122, 0.598], [0.091, 0.188, 0.213], [0.476, 0.688, 0.098], [0.812, 0.909, 0.287], [0.122, 0.409, 0.098], [0.378, 0.976, 0.787], [0.598, 0.622, 0.409], [0.902, 0.812, 0.524], [0.787, 0.312, 0.909], [0.402, 0.378, 0.591], [0.098, 0.188, 0.476], [0.213, 0.688, 0.091], [0.188, 0.091, 0.713], [0.622, 0.024, 0.213], [0.878, 0.591, 0.902], [0.524, 0.312, 0.902], [0.591, 0.878, 0.402], [0.909, 0.812, 0.787], [0.909, 0.098, 0.622], [0.878, 0.287, 0.476], [0.188, 0.098, 0.976], [0.622, 0.598, 0.909], [0.402, 0.024, 0.312], [0.287, 0.409, 0.812], [0.213, 0.524, 0.622], [0.902, 0.091, 0.878], [0.688, 0.213, 0.591], [0.476, 0.787, 0.878], [0.024, 0.402, 0.812], [0.409, 0.287, 0.312], [0.024, 0.622, 0.713], [0.688, 0.476, 0.598], [0.287, 0.878, 0.976]], "final_energy_ev_per_cell": -212.00, "space_group": "Ia-3d"}



# 2
{"formula": "La2Pm3Sm8", "functional": "GGA-PBE", "state": "relaxed", "lattice_angstrom": [[5.676, 0.000, 0.679], [0.000, 7.736, 0.000], [-1.259, -3.868, 10.462]], "species": ["La", "La", "Pm", "Pm", "Pm", "Sm", "Sm", "Sm", "Sm", "Sm", "Sm", "Sm", "Sm"], "fractional_positions": [[0.498, 0.242, 0.485], [0.502, 0.758, 0.515], [0.500, 0.000, 0.000], [0.000, 0.290, 0.000], [0.000, 0.710, 0.000], [0.001, 0.664, 0.329], [0.999, 0.336, 0.671], [0.999, 0.130, 0.260], [0.001, 0.870, 0.740], [0.500, 0.604, 0.791], [0.500, 0.186, 0.791], [0.500, 0.814, 0.209], [0.500, 0.396, 0.209]], "final_energy_ev_per_cell": -58.97, "delta_e_f_kj_per_mol_atoms": 21.5, "space_group": "C2/m", "e_above_lowest_polymorph_mev_per_atom": 11}



# 3
{"formula": "PtW3Br", "functional": "GGA-PBE", "state": "relaxed", "lattice_angstrom": [[-2.113, 1.309, 4.183], [-3.628, -3.127, -0.854], [2.458, -3.490, 2.334]], "species": ["Br", "W", "W", "W", "Pt"], "fractional_positions": [[0.500, 0.500, 0.500], [0.000, 0.500, 0.000], [0.000, 0.000, 0.500], [0.500, 0.000, 0.000], [0.000, 0.000, 0.000]], "final_energy_ev_per_cell": -34.68, "space_group": "Pm-3m", "e_form_raw_mev_per_atom": 2378, "e_above_lowest_polymorph_mev_per_atom": 275}



| no. | total magnetization (μB/cell) |
| --- | --- |
| 1 | 0.00 |
| 2 | 0.00 |
| 3 | 0.00 |